The following is a PBE-GGA calculation of NaAlTe after structural relaxation, from Alexandria.

```
NaAlTe
1.0
2.238 -8.068 0.000
2.238 8.068 0.000
0.000 0.000 4.617
Na Al Te
2 2 2
direct
0.179 0.821 0.750
0.821 0.179 0.250
0.132 0.132 0.000
0.868 0.868 0.500
0.377 0.623 0.750
0.623 0.377 0.250
```

SG: C222_1 (20)
relative energy among the computed polymorphs: 63 meV per atom
energy relative to the elements, uncorrected: -0.4549 eV/atom


The following is a PBE-GGA calculation of MoAs2Se after structural relaxation, from Alexandria.

```
MoAs2Se
1.0
-1.585 2.042 6.430
1.585 -2.042 6.430
1.585 2.042 -6.430
Mo As Se
1 2 1
direct
0.000 0.000 0.000
0.444 0.444 0.000
0.820 0.320 0.500
0.151 0.651 0.500
```

Fermi-level density of states: 0.473 states/eV per atom
SG: Imm2 (44)
energy relative to the elements, uncorrected: 0.0913 eV/atom


The following is a PBE-GGA calculation of La3Tb4Er5 after structural relaxation, from Alexandria.

```
La3Tb4Er5
1.0
6.210 0.000 0.000
0.012 7.162 0.000
0.040 0.040 8.799
La Tb Er
3 4 5
direct
0.000 0.000 0.000
0.167 0.251 0.333
0.833 0.749 0.667
0.171 0.749 0.332
0.333 0.499 0.669
0.667 0.501 0.331
0.829 0.251 0.668
0.000 0.500 0.000
0.336 0.000 0.668
0.498 0.748 0.000
0.502 0.252 0.000
0.664 0.000 0.332
```

Fermi-level density of states: 1.406 states/eV per atom
DFT formation energy: 0.026 eV per atom
SG: P-1 (2)
relative energy among the computed polymorphs: 0 meV per atom